! PBE TlB2I8, relaxed; values from VASP
! - crystal system = monoclinic
! - E_form (uncorrected) (eV/atom) = -0.053
! - magnetization (μB/cell) = 1.07
! - mass density (g cm⁻³) = 3.3
! - total energy (eV/cell) = -28.7
&SYSTEM
  ibrav = 0, nat = 11, ntyp = 3
/
ATOMIC_SPECIES
I 126.90 I.upf
B 10.81 B.upf
Tl 204.38 Tl.upf
CELL_PARAMETERS angstrom
-6.960 2.708 4.903
-0.829 -6.647 5.157
4.013 4.715 5.756
ATOMIC_POSITIONS angstrom
I -4.348 1.548 5.785
I -3.337 0.916 9.610
I -3.584 -1.151 12.653
I -0.439 -0.140 6.206
I -2.136 2.246 12.832
I -1.640 -1.470 2.984
I 0.572 -0.772 10.031
I -0.192 1.927 3.164
B -0.768 0.110 4.121
B -3.009 0.666 11.695
Tl 0.000 0.000 0.000